This record from Alexandria describes a geometry-optimized CaCdW2F structure. The functional is PBE with a Hubbard U.

Output
- space-group type = P4/mmm (123)
- E_tot (eV per cell) = -10.86

a = 6.050 Å, b = 6.050 Å, c = 6.169 Å
α = 90.00°, β = 90.00°, γ = 90.00°
Each line ends with the local moment (μB).
Positions (direct):
W1 0.000 0.500 0.000  3.55
Cd1 0.000 0.000 0.500  0.01
W2 0.500 0.000 0.000  3.55
Ca1 0.000 0.000 0.000  0.08
F1 0.500 0.500 0.500  0.10